A plane-wave DFT calculation with GGA-PBE was carried out for crystalline Hf2ZrTe at its relaxed geometry.

Results
**Uncorrected energy**: -8.08 eV per atom
**Uncorrected formation energy**: -0.181 eV per atom
**Magnetization**: 0.00 μB/f.u.

a b c (Å): 6.652 5.397 12.807
angles (deg): 90.00 121.23 90.00
Fractional coordinates of all 16 atoms:
Hf  0.034  0.220  0.438
Hf  0.034  0.280  0.938
Hf  0.342  0.720  0.938
Hf  0.342  0.780  0.438
Hf  0.658  0.220  0.562
Hf  0.658  0.280  0.062
Hf  0.966  0.720  0.062
Hf  0.966  0.780  0.562
Zr  0.154  0.250  0.250
Zr  0.154  0.250  0.750
Zr  0.846  0.750  0.250
Zr  0.846  0.750  0.750
Te  0.393  0.000  0.143
Te  0.393  0.500  0.643
Te  0.607  0.000  0.857
Te  0.607  0.500  0.357